This record from Alexandria describes a geometry-optimized Zr2ZnSb2 structure. The functional is PBE-GGA.

Cell and atoms, written as POSCAR:
```
Zr2ZnSb2
1.0
-2.054 -1.810 7.182
3.560 -6.777 -0.690
3.302 1.597 1.347
Sb Zn Zr
4 2 4
direct
0.152 0.652 0.500 Sb
0.652 0.848 0.500 Sb
0.848 0.348 0.500 Sb
0.348 0.152 0.500 Sb
0.000 0.000 0.000 Zn
0.500 0.500 0.000 Zn
0.352 0.852 0.000 Zr
0.852 0.648 0.000 Zr
0.648 0.148 0.000 Zr
0.148 0.352 0.000 Zr
```

Computed properties:
uncorrected formation energy: -0.441 eV per atom
calculated total energy: -57.6 eV/cell
space group: No. 127
E above lowest polymorph: 0 meV/atom

This record from Alexandria describes a geometry-optimized La2Pm2SmMg5 structure. The functional is PBE-GGA.

Cell and atoms, written as POSCAR:
```
La2Pm2SmMg5
1.0
-0.297 3.693 3.647
-10.291 1.685 -2.545
-2.990 -7.365 7.214
La Pm Sm Mg
4 4 2 10
direct
0.000 0.675 0.175 La
0.000 0.325 0.825 La
0.000 0.175 0.325 La
0.000 0.825 0.675 La
0.000 0.123 0.623 Pm
0.000 0.877 0.377 Pm
0.000 0.623 0.877 Pm
0.000 0.377 0.123 Pm
0.000 0.000 0.000 Sm
0.000 0.500 0.500 Sm
0.500 0.196 0.072 Mg
0.500 0.804 0.928 Mg
0.500 0.072 0.804 Mg
0.500 0.696 0.428 Mg
0.500 0.928 0.196 Mg
0.500 0.304 0.572 Mg
0.500 0.572 0.696 Mg
0.500 0.428 0.304 Mg
0.500 0.500 0.000 Mg
0.500 0.000 0.500 Mg
```

Computed properties:
calculated total energy: -64.2 eV/cell
space group: No. 127

This record from Alexandria describes a geometry-optimized RbBa2P2 structure. The functional is PBE-GGA.

Cell and atoms, written as POSCAR:
```
RbBa2P2
1.0
-0.482 -5.188 1.742
-0.452 -1.705 -5.203
5.535 -4.106 -2.036
P Ba Rb
2 2 1
direct
0.400 0.400 0.200 P
0.600 0.600 0.800 P
0.750 0.250 0.500 Ba
0.250 0.750 0.500 Ba
0.000 0.000 0.000 Rb
```

Computed properties:
calculated total energy: -17.8 eV/cell
space group: No. 139
E above lowest polymorph: 192 meV/atom

This record from Alexandria describes a geometry-optimized Pr2Cu3Ni structure. The functional is PBE-GGA.

Cell and atoms, written as POSCAR:
```
Pr2Cu3Ni
1.0
-2.255 -0.798 -3.042
-2.351 -2.528 2.406
-4.349 5.692 1.730
Pr Cu Ni
2 3 1
direct
0.000 0.500 0.010 Pr
0.000 0.000 0.492 Pr
0.500 0.000 0.834 Cu
0.500 0.000 0.168 Cu
0.500 0.500 0.663 Cu
0.500 0.500 0.333 Ni
```

Computed properties:
calculated total energy: -29.0 eV/cell
space group: No. 25

This record from Alexandria describes a geometry-optimized BeSb2Rh structure. The functional is PBE-GGA.

Cell and atoms, written as POSCAR:
```
BeSb2Rh
1.0
3.624 0.000 0.000
0.000 4.515 0.000
0.000 0.000 4.515
Sb Rh Be
2 1 1
direct
0.000 0.000 0.000 Sb
0.000 0.500 0.500 Sb
0.500 0.000 0.500 Rh
0.500 0.500 0.000 Be
```

Computed properties:
uncorrected formation energy: 0.283 eV per atom
calculated total energy: -18.2 eV/cell
space group: No. 123

This record from Alexandria describes a geometry-optimized PmPr3C structure. The functional is PBE-GGA.

Cell and atoms, written as POSCAR:
```
PmPr3C
1.0
-1.684 -4.075 2.926
3.917 -2.997 -1.920
3.136 1.555 3.970
Pr C Pm
3 1 1
direct
0.000 0.500 0.000 Pr
0.000 0.000 0.500 Pr
0.500 0.000 0.000 Pr
0.000 0.000 0.000 C
0.500 0.500 0.500 Pm
```

Computed properties:
calculated total energy: -27.7 eV/cell
space group: No. 221

What did the first record say?
This record from Alexandria describes a geometry-optimized Zr2ZnSb2 structure. The functional is PBE-GGA.

Cell and atoms, written as POSCAR:
```
Zr2ZnSb2
1.0
-2.054 -1.810 7.182
3.560 -6.777 -0.690
3.302 1.597 1.347
Sb Zn Zr
4 2 4
direct
0.152 0.652 0.500 Sb
0.652 0.848 0.500 Sb
0.848 0.348 0.500 Sb
0.348 0.152 0.500 Sb
0.000 0.000 0.000 Zn
0.500 0.500 0.000 Zn
0.352 0.852 0.000 Zr
0.852 0.648 0.000 Zr
0.648 0.148 0.000 Zr
0.148 0.352 0.000 Zr
```

Computed properties:
uncorrected formation energy: -0.441 eV per atom
calculated total energy: -57.6 eV/cell
space group: No. 127
E above lowest polymorph: 0 meV/atom